This record from the Open Quantum Materials Database describes an optimized crystal structure of LuGaAgPd. The functional is PBE-GGA.

Output
Space-group type: F-43m (216)
Offset from the most stable computed form (kcal/mol of atoms): 0.000

```
data_LuGaAgPd
_chemical_formula_sum 'Lu1 Ga1 Ag1 Pd1'
_space_group_name_H-M_alt 'P 1'
_space_group_IT_number 1
_cell_length_a 4.698
_cell_length_b 4.698
_cell_length_c 4.698
_cell_angle_alpha 60.00
_cell_angle_beta 60.00
_cell_angle_gamma 60.00
loop_
_space_group_symop_operation_xyz
'x,y,z'
loop_
_atom_site_label
_atom_site_type_symbol
_atom_site_fract_x
_atom_site_fract_y
_atom_site_fract_z
Ag1 Ag 0.500 0.500 0.500
Ga1 Ga 0.250 0.250 0.250
Lu1 Lu 0.750 0.750 0.750
Pd1 Pd 0.000 0.000 0.000
```

---

This record from the Open Quantum Materials Database describes an optimized crystal structure of LuGaAgPd. The functional is PBE-GGA.

Output
Space-group type: F-43m (216)
Offset from the most stable computed form (kcal/mol of atoms): 1.853

```
data_LuGaAgPd
_chemical_formula_sum 'Lu1 Ga1 Ag1 Pd1'
_space_group_name_H-M_alt 'P 1'
_space_group_IT_number 1
_cell_length_a 4.725
_cell_length_b 4.725
_cell_length_c 4.725
_cell_angle_alpha 60.00
_cell_angle_beta 60.00
_cell_angle_gamma 60.00
loop_
_space_group_symop_operation_xyz
'x,y,z'
loop_
_atom_site_label
_atom_site_type_symbol
_atom_site_fract_x
_atom_site_fract_y
_atom_site_fract_z
Ag1 Ag 0.250 0.250 0.250
Ga1 Ga 0.500 0.500 0.500
Lu1 Lu 0.750 0.750 0.750
Pd1 Pd 0.000 0.000 0.000
```

---

This record from the Open Quantum Materials Database describes an optimized crystal structure of LuGaAgTe3. The functional is PBE-GGA.

Output
Space-group type: Cmcm (63)
Calculated total energy (Ry/atom): -0.2799

```
data_LuGaAgTe3
_chemical_formula_sum 'Lu2 Ga2 Ag2 Te6'
_space_group_name_H-M_alt 'P 1'
_space_group_IT_number 1
_cell_length_a 7.435
_cell_length_b 7.435
_cell_length_c 11.266
_cell_angle_alpha 90.00
_cell_angle_beta 90.00
_cell_angle_gamma 147.15
loop_
_space_group_symop_operation_xyz
'x,y,z'
loop_
_atom_site_label
_atom_site_type_symbol
_atom_site_fract_x
_atom_site_fract_y
_atom_site_fract_z
Ag1 Ag 0.254 0.746 0.250
Ag2 Ag 0.746 0.254 0.750
Ga1 Ga 0.972 0.028 0.250
Ga2 Ga 0.028 0.972 0.750
Lu1 Lu 0.500 0.500 0.000
Lu2 Lu 0.500 0.500 0.500
Te1 Te 0.854 0.146 0.062
Te2 Te 0.604 0.396 0.250
Te3 Te 0.854 0.146 0.438
Te4 Te 0.146 0.854 0.562
Te5 Te 0.396 0.604 0.750
Te6 Te 0.146 0.854 0.938
```

---

This record from the Open Quantum Materials Database describes an optimized crystal structure of MgGaAg2. The functional is PBE-GGA.

Output
Space-group type: P4/mmm (123)
Calculated total energy (Ry/atom): -0.1982

```
data_MgGaAg2
_chemical_formula_sum 'Mg1 Ga1 Ag2'
_space_group_name_H-M_alt 'P 1'
_space_group_IT_number 1
_cell_length_a 3.433
_cell_length_b 3.433
_cell_length_c 6.139
_cell_angle_alpha 90.00
_cell_angle_beta 90.00
_cell_angle_gamma 90.00
loop_
_space_group_symop_operation_xyz
'x,y,z'
loop_
_atom_site_label
_atom_site_type_symbol
_atom_site_fract_x
_atom_site_fract_y
_atom_site_fract_z
Ag1 Ag 0.500 0.500 0.249
Ag2 Ag 0.500 0.500 0.751
Ga1 Ga 0.000 0.000 0.000
Mg1 Mg 0.000 0.000 0.500
```

---

This record from the Open Quantum Materials Database describes an optimized crystal structure of MgGaAg2. The functional is PBE-GGA.

Output
Space-group type: P6_3/mmc (194)
Calculated total energy (Ry/atom): -0.1949

```
data_MgGaAg2
_chemical_formula_sum 'Mg2 Ga2 Ag4'
_space_group_name_H-M_alt 'P 1'
_space_group_IT_number 1
_cell_length_a 4.657
_cell_length_b 4.657
_cell_length_c 8.098
_cell_angle_alpha 90.00
_cell_angle_beta 90.00
_cell_angle_gamma 120.00
loop_
_space_group_symop_operation_xyz
'x,y,z'
loop_
_atom_site_label
_atom_site_type_symbol
_atom_site_fract_x
_atom_site_fract_y
_atom_site_fract_z
Ag1 Ag 0.667 0.333 0.081
Ag2 Ag 0.667 0.333 0.419
Ag3 Ag 0.333 0.667 0.581
Ag4 Ag 0.333 0.667 0.919
Ga1 Ga 0.333 0.667 0.250
Ga2 Ga 0.667 0.333 0.750
Mg1 Mg 0.000 0.000 0.000
Mg2 Mg 0.000 0.000 0.500
```

---

This record from the Open Quantum Materials Database describes an optimized crystal structure of MgGaAg2. The functional is PBE-GGA.

Output
Space-group type: P6_3/mmc (194)
Calculated total energy (Ry/atom): -0.1926

```
data_MgGaAg2
_chemical_formula_sum 'Mg2 Ga2 Ag4'
_space_group_name_H-M_alt 'P 1'
_space_group_IT_number 1
_cell_length_a 4.648
_cell_length_b 4.648
_cell_length_c 8.109
_cell_angle_alpha 90.00
_cell_angle_beta 90.00
_cell_angle_gamma 120.00
loop_
_space_group_symop_operation_xyz
'x,y,z'
loop_
_atom_site_label
_atom_site_type_symbol
_atom_site_fract_x
_atom_site_fract_y
_atom_site_fract_z
Ag1 Ag 0.333 0.667 0.078
Ag2 Ag 0.333 0.667 0.422
Ag3 Ag 0.667 0.333 0.578
Ag4 Ag 0.667 0.333 0.922
Ga1 Ga 0.667 0.333 0.250
Ga2 Ga 0.333 0.667 0.750
Mg1 Mg 0.000 0.000 0.250
Mg2 Mg 0.000 0.000 0.750
```

---

This record from the Open Quantum Materials Database describes an optimized crystal structure of MgGaAg2. The functional is PBE-GGA.

Output
Space-group type: I4/mmm (139)
Calculated total energy (Ry/atom): -0.1995

```
data_MgGaAg2
_chemical_formula_sum 'Mg6 Ga6 Ag12'
_space_group_name_H-M_alt 'P 1'
_space_group_IT_number 1
_cell_length_a 4.548
_cell_length_b 6.831
_cell_length_c 13.634
_cell_angle_alpha 90.00
_cell_angle_beta 90.00
_cell_angle_gamma 90.00
loop_
_space_group_symop_operation_xyz
'x,y,z'
loop_
_atom_site_label
_atom_site_type_symbol
_atom_site_fract_x
_atom_site_fract_y
_atom_site_fract_z
Ag1 Ag 0.500 0.250 0.000
Ag2 Ag 0.500 0.750 0.000
Ag3 Ag 0.000 0.250 0.167
Ag4 Ag 0.000 0.750 0.167
Ag5 Ag 0.500 0.250 0.333
Ag6 Ag 0.500 0.750 0.333
Ag7 Ag 0.000 0.250 0.500
Ag8 Ag 0.000 0.750 0.500
Ag9 Ag 0.500 0.250 0.667
Ag10 Ag 0.500 0.750 0.667
Ag11 Ag 0.000 0.250 0.833
Ag12 Ag 0.000 0.750 0.833
Ga1 Ga 0.000 0.000 0.000
Ga2 Ga 0.500 0.500 0.167
Ga3 Ga 0.000 0.000 0.333
Ga4 Ga 0.500 0.500 0.500
Ga5 Ga 0.000 0.000 0.667
Ga6 Ga 0.500 0.500 0.833
Mg1 Mg 0.000 0.500 0.000
Mg2 Mg 0.500 0.000 0.167
Mg3 Mg 0.000 0.500 0.333
Mg4 Mg 0.500 0.000 0.500
Mg5 Mg 0.000 0.500 0.667
Mg6 Mg 0.500 0.000 0.833
```

---

This record from the Open Quantum Materials Database describes an optimized crystal structure of MgGaAg2. The functional is PBE-GGA.

Output
Space-group type: P4/mmm (123)
Calculated total energy (Ry/atom): -0.1986

```
data_MgGaAg2
_chemical_formula_sum 'Mg1 Ga1 Ag2'
_space_group_name_H-M_alt 'P 1'
_space_group_IT_number 1
_cell_length_a 4.301
_cell_length_b 4.301
_cell_length_c 3.874
_cell_angle_alpha 90.00
_cell_angle_beta 90.00
_cell_angle_gamma 90.00
loop_
_space_group_symop_operation_xyz
'x,y,z'
loop_
_atom_site_label
_atom_site_type_symbol
_atom_site_fract_x
_atom_site_fract_y
_atom_site_fract_z
Ag1 Ag 0.500 0.000 0.500
Ag2 Ag 0.000 0.500 0.500
Ga1 Ga 0.000 0.000 0.000
Mg1 Mg 0.500 0.500 0.000
```

---

This record from the Open Quantum Materials Database describes an optimized crystal structure of Mg2GaAg. The functional is PBE-GGA.

Output
Space-group type: F-43m (216)
Calculated total energy (Ry/atom): -0.1692

```
data_Mg2GaAg
_chemical_formula_sum 'Mg2 Ga1 Ag1'
_space_group_name_H-M_alt 'P 1'
_space_group_IT_number 1
_cell_length_a 4.752
_cell_length_b 4.752
_cell_length_c 4.752
_cell_angle_alpha 60.00
_cell_angle_beta 60.00
_cell_angle_gamma 60.00
loop_
_space_group_symop_operation_xyz
'x,y,z'
loop_
_atom_site_label
_atom_site_type_symbol
_atom_site_fract_x
_atom_site_fract_y
_atom_site_fract_z
Ag1 Ag 0.250 0.250 0.250
Ga1 Ga 0.500 0.500 0.500
Mg1 Mg 0.000 0.000 0.000
Mg2 Mg 0.750 0.750 0.750
```

---

This record from the Open Quantum Materials Database describes an optimized crystal structure of MgGaAg2. The functional is PBE-GGA.

Output
Space-group type: Pnma (62)
Calculated total energy (Ry/atom): -0.1960

```
data_MgGaAg2
_chemical_formula_sum 'Mg4 Ga4 Ag8'
_space_group_name_H-M_alt 'P 1'
_space_group_IT_number 1
_cell_length_a 5.564
_cell_length_b 7.703
_cell_length_c 7.079
_cell_angle_alpha 90.00
_cell_angle_beta 90.00
_cell_angle_gamma 90.00
loop_
_space_group_symop_operation_xyz
'x,y,z'
loop_
_atom_site_label
_atom_site_type_symbol
_atom_site_fract_x
_atom_site_fract_y
_atom_site_fract_z
Ag1 Ag 0.564 0.551 0.198
Ag2 Ag 0.564 0.949 0.198
Ag3 Ag 0.064 0.051 0.302
Ag4 Ag 0.064 0.449 0.302
Ag5 Ag 0.936 0.551 0.698
Ag6 Ag 0.936 0.949 0.698
Ag7 Ag 0.436 0.051 0.802
Ag8 Ag 0.436 0.449 0.802
Ga1 Ga 0.363 0.250 0.115
Ga2 Ga 0.863 0.750 0.385
Ga3 Ga 0.137 0.250 0.615
Ga4 Ga 0.637 0.750 0.885
Mg1 Mg 0.144 0.750 0.026
Mg2 Mg 0.644 0.250 0.474
Mg3 Mg 0.356 0.750 0.526
Mg4 Mg 0.856 0.250 0.974
```

---

This record from the Open Quantum Materials Database describes an optimized crystal structure of MgGaAg2. The functional is PBE-GGA.

Output
Space-group type: I4/mmm (139)
Calculated total energy (Ry/atom): -0.1996

```
data_MgGaAg2
_chemical_formula_sum 'Mg6 Ga6 Ag12'
_space_group_name_H-M_alt 'P 1'
_space_group_IT_number 1
_cell_length_a 4.637
_cell_length_b 6.576
_cell_length_c 13.902
_cell_angle_alpha 90.00
_cell_angle_beta 90.00
_cell_angle_gamma 90.00
loop_
_space_group_symop_operation_xyz
'x,y,z'
loop_
_atom_site_label
_atom_site_type_symbol
_atom_site_fract_x
_atom_site_fract_y
_atom_site_fract_z
Ag1 Ag 0.500 0.250 0.000
Ag2 Ag 0.500 0.750 0.000
Ag3 Ag 0.000 0.250 0.167
Ag4 Ag 0.000 0.750 0.167
Ag5 Ag 0.500 0.250 0.333
Ag6 Ag 0.500 0.750 0.333
Ag7 Ag 0.000 0.250 0.500
Ag8 Ag 0.000 0.750 0.500
Ag9 Ag 0.500 0.250 0.667
Ag10 Ag 0.500 0.750 0.667
Ag11 Ag 0.000 0.250 0.833
Ag12 Ag 0.000 0.750 0.833
Ga1 Ga 0.000 0.500 0.000
Ga2 Ga 0.500 0.000 0.167
Ga3 Ga 0.000 0.500 0.333
Ga4 Ga 0.500 0.000 0.500
Ga5 Ga 0.000 0.500 0.667
Ga6 Ga 0.500 0.000 0.833
Mg1 Mg 0.000 0.000 0.000
Mg2 Mg 0.499 0.500 0.167
Mg3 Mg 0.999 0.000 0.333
Mg4 Mg 0.500 0.500 0.500
Mg5 Mg 0.001 0.000 0.667
Mg6 Mg 0.501 0.500 0.833
```

---

This record from the Open Quantum Materials Database describes an optimized crystal structure of Mg5GaAg4. The functional is PBE-GGA.

Output
Space-group type: P4/mmm (123)
Calculated total energy (Ry/atom): -0.1790

```
data_Mg5GaAg4
_chemical_formula_sum 'Mg5 Ga1 Ag4'
_space_group_name_H-M_alt 'P 1'
_space_group_IT_number 1
_cell_length_a 3.374
_cell_length_b 3.374
_cell_length_c 16.407
_cell_angle_alpha 90.00
_cell_angle_beta 90.00
_cell_angle_gamma 90.00
loop_
_space_group_symop_operation_xyz
'x,y,z'
loop_
_atom_site_label
_atom_site_type_symbol
_atom_site_fract_x
_atom_site_fract_y
_atom_site_fract_z
Ag1 Ag 0.000 0.000 0.200
Ag2 Ag 0.000 0.000 0.400
Ag3 Ag 0.000 0.000 0.600
Ag4 Ag 0.000 0.000 0.800
Ga1 Ga 0.000 0.000 0.000
Mg1 Mg 0.500 0.500 0.101
Mg2 Mg 0.500 0.500 0.300
Mg3 Mg 0.500 0.500 0.500
Mg4 Mg 0.500 0.500 0.700
Mg5 Mg 0.500 0.500 0.899
```